No. 1
# BaNiIr2

A relaxed structure of BaNiIr2 (PBEsol, Alexandria).

Cell: 2.8961 5.2573 5.2573 Å, 116.76 90.00 90.00°
Closest atoms and distances in Å follow each position.
Fractional coordinates of all 4 atoms:
1 Ba 0.5000 0.5000 0.5000  2 Ni 2.76, 2 Ba 2.90, 8 Ir 3.00
2 Ir 0.0000 0.5000 0.0000  4 Ir 2.76-2.90, 4 Ba 3.00, 4 Ni 3.00
3 Ir 0.0000 0.0000 0.5000  4 Ir 2.76-2.90, 4 Ni 3.00, 4 Ba 3.00
4 Ni 0.5000 0.0000 0.0000  2 Ba 2.76, 2 Ni 2.90, 8 Ir 3.00

Properties
**V**: 71 Å³ per cell
**DFT total energy**: -6.05 eV/atom
**Density of states at the Fermi level**: 5.3 states/eV/cell
**Magnetization**: 0.003 μB per formula unit
**Space group**: Cmmm (65)

No. 2
# PSeBrO2

A relaxed structure of PSeBrO2 (PBEsol, Alexandria).

Cell: 3.7393 3.7393 5.2477 Å, 90.00 90.00 90.00°
Closest atoms and distances in Å follow each position.
Fractional coordinates of all 5 atoms:
1 Br 0.5000 0.5000 0.5000  4 P 2.64
2 O 0.5000 0.0000 0.0000  2 Se 1.87
3 O 0.0000 0.5000 0.0000  2 Se 1.87
4 P 0.0000 0.0000 0.5000  2 Se 2.62, 4 Br 2.64
5 Se 0.0000 0.0000 0.0000  4 O 1.87

Properties
**V**: 73 Å³ per cell
**Formation energy from raw total energies**: 0.4 eV/f.u.
**DFT total energy**: -4.32 eV/atom
**Density of states at the Fermi level**: 2.3 states/eV/cell
**Magnetization**: 0.000 μB per formula unit
**Space group**: P4/mmm (123)

No. 3
# LiScI2

A relaxed structure of LiScI2 (PBEsol, Alexandria).

Cell: 6.8012 7.4039 6.8012 Å, 62.66 90.00 117.34°
Closest atoms and distances in Å follow each position.
Fractional coordinates of all 8 atoms:
1 Sc 0.7500 0.5000 0.7500  4 I 2.90
2 Sc 0.0000 0.0000 0.0000  4 I 2.90
3 I 0.8750 0.2500 0.5992  2 Li 2.68, 2 Sc 2.90
4 I 0.1508 0.7500 0.8750  2 Li 2.68, 2 Sc 2.90
5 I 0.5992 0.7500 0.3750  2 Li 2.68, 2 Sc 2.90
6 I 0.3750 0.2500 0.1508  2 Li 2.68, 2 Sc 2.90
7 Li 0.2500 0.5000 0.2500  4 I 2.68
8 Li 0.5000 0.0000 0.5000  4 I 2.68

Properties
**V**: 260 Å³ per cell
**Formation energy from raw total energies**: -2.3 eV/f.u.
**DFT total energy**: -3.60 eV/atom
**Density of states at the Fermi level**: 7.0 states/eV/cell
**Magnetization**: 1.973 μB per formula unit
**Offset from the most stable computed form**: 0.17 eV per formula unit
**Space group**: I-42d (122)

No. 4
# CrRh3S

A relaxed structure of CrRh3S (PBEsol, Alexandria).

Cell: 4.2875 4.2875 4.2875 Å, 90.00 90.00 90.00°
Closest atoms and distances in Å follow each position.
Fractional coordinates of all 5 atoms:
1 Rh 0.5000 0.0000 0.0000  2 S 2.14
2 Rh 0.0000 0.0000 0.5000  2 S 2.14
3 Rh 0.0000 0.5000 0.0000  2 S 2.14
4 Cr 0.5000 0.5000 0.5000  12 Rh 3.03
5 S 0.0000 0.0000 0.0000  6 Rh 2.14

Properties
**V**: 79 Å³ per cell
**Formation energy from raw total energies**: 1.7 eV/f.u.
**DFT total energy**: -7.47 eV/atom
**Density of states at the Fermi level**: 7.2 states/eV/cell
**Magnetization**: 4.274 μB per formula unit
**Space group**: Pm-3m (221)

No. 5
# LaRe2Si2

A relaxed structure of LaRe2Si2 (PBEsol, Alexandria).

Cell: 4.1205 4.2031 10.8752 Å, 101.14 100.92 90.00°
Closest atoms and distances in Å follow each position.
Fractional coordinates of all 10 atoms:
1 Si 0.2786 0.0286 0.5572  3 Si 2.38-2.45
2 Si 0.3957 0.1457 0.7913  1 Si 2.45, 4 Re 2.51
3 Si 0.7214 0.9714 0.4428  3 Si 2.38-2.45
4 Si 0.6043 0.8543 0.2087  1 Si 2.45, 4 Re 2.51
5 Re 0.4611 0.7111 0.9221  2 Si 2.51, 4 Re 2.59-2.66
6 Re 0.5389 0.2889 0.0779  2 Si 2.51, 4 Re 2.59-2.66
7 Re 0.9642 0.2142 0.9284  2 Si 2.51, 4 Re 2.58-2.59
8 Re 0.0358 0.7858 0.0716  2 Si 2.51, 4 Re 2.58-2.59
9 La 0.1630 0.4130 0.3259  10 Si 3.19-3.21, 4 Re 3.31-3.39
10 La 0.8370 0.5870 0.6741  10 Si 3.19-3.21, 4 Re 3.31-3.39

Properties
**V**: 181 Å³ per cell
**Formation energy from raw total energies**: -2.9 eV/f.u.
**DFT total energy**: -9.28 eV/atom
**Density of states at the Fermi level**: 4.0 states/eV/cell
**Magnetization**: 0.000 μB per formula unit
**Space group**: Imma (74)

No. 6
# Li14Mn2O9

A relaxed structure of Li14Mn2O9 (PBEsol, Alexandria).

Cell: 5.7826 5.7826 7.9508 Å, 90.00 90.00 120.00°
Closest atoms and distances in Å follow each position.
Fractional coordinates of all 25 atoms:
1 Li 0.6255 0.9380 0.4135  3 O 1.87-2.07
2 Li 0.3011 0.9429 0.0938  3 O 1.88-2.07
3 Li 0.6875 0.6255 0.5865  3 O 1.87-2.07
4 Li 0.6989 0.0571 0.9062  3 O 1.88-2.07
5 Li 0.0000 0.0000 0.7409  4 O 1.97-2.06
6 Li 0.3125 0.3745 0.4135  3 O 1.87-2.07
7 Li 0.6417 0.6989 0.0938  3 O 1.88-2.07
8 Li 0.3583 0.3011 0.9062  3 O 1.88-2.07
9 Li 0.3745 0.0620 0.5865  3 O 1.87-2.07
10 Li 0.0000 0.0000 0.2591  4 O 1.97-2.06
11 Li 0.0571 0.3583 0.0938  3 O 1.88-2.07
12 Li 0.9380 0.3125 0.5865  3 O 1.87-2.07
13 Li 0.9429 0.6417 0.9062  3 O 1.88-2.07
14 Li 0.0620 0.6875 0.4135  3 O 1.87-2.07
15 O 0.0226 0.6903 0.6588  5 Li 1.87-2.07, 1 Mn 1.99
16 O 0.6903 0.6677 0.3412  5 Li 1.87-2.07, 1 Mn 1.99
17 O 0.9774 0.3097 0.3412  5 Li 1.87-2.07, 1 Mn 1.99
18 O 0.3323 0.0226 0.3412  5 Li 1.87-2.07, 1 Mn 1.99
19 O 0.3333 0.6667 0.9913  3 Li 1.88, 1 Mn 1.96
20 O 0.6677 0.9774 0.6588  5 Li 1.87-2.07, 1 Mn 1.99
21 O 0.0000 0.0000 0.0000  8 Li 2.06-2.07
22 O 0.6667 0.3333 0.0087  3 Li 1.88, 1 Mn 1.96
23 O 0.3097 0.3323 0.6588  5 Li 1.87-2.07, 1 Mn 1.99
24 Mn 0.3333 0.6667 0.7450  4 O 1.96-1.99
25 Mn 0.6667 0.3333 0.2550  4 O 1.96-1.99

Properties
**V**: 230 Å³ per cell
**Formation energy from raw total energies**: -43.2 eV/f.u.
**DFT total energy**: -5.50 eV/atom
**Density of states at the Fermi level**: 0.0 states/eV/cell
**Magnetization**: 10.000 μB per formula unit
**Space group**: P-3 (147)

No. 7
# YNbCr3

A relaxed structure of YNbCr3 (PBEsol, Alexandria).

Cell: 4.4185 4.4185 4.4185 Å, 90.00 90.00 90.00°
Closest atoms and distances in Å follow each position.
Fractional coordinates of all 5 atoms:
1 Cr 0.0000 0.0000 0.5000  2 Y 2.21
2 Cr 0.5000 0.0000 0.0000  2 Y 2.21
3 Cr 0.0000 0.5000 0.0000  2 Y 2.21
4 Y 0.0000 0.0000 0.0000  6 Cr 2.21
5 Nb 0.5000 0.5000 0.5000  12 Cr 3.12

Properties
**V**: 86 Å³ per cell
**DFT total energy**: -7.49 eV/atom
**Density of states at the Fermi level**: 6.2 states/eV/cell
**Magnetization**: 4.161 μB per formula unit
**Space group**: Pm-3m (221)

No. 8
# BeAsIr2

A relaxed structure of BeAsIr2 (PBEsol, Alexandria).

Cell: 4.0017 4.2837 4.0017 Å, 62.15 90.00 117.85°
Closest atoms and distances in Å follow each position.
Fractional coordinates of all 4 atoms:
1 Be 0.0000 0.0000 0.0000  8 Ir 2.57, 4 As 2.83
2 Ir 0.7500 0.5000 0.7500  4 As 2.57, 4 Be 2.57, 4 Ir 2.83
3 Ir 0.2500 0.5000 0.2500  4 As 2.57, 4 Be 2.57, 4 Ir 2.83
4 As 0.5000 0.0000 0.5000  8 Ir 2.57, 4 Be 2.83

Properties
**V**: 51 Å³ per cell
**DFT total energy**: -7.30 eV/atom
**Density of states at the Fermi level**: 1.3 states/eV/cell
**Magnetization**: 0.000 μB per formula unit
**Offset from the most stable computed form**: 0.00 eV per formula unit
**Space group**: I4/mmm (139)

No. 9
# Fe2Rh

A relaxed structure of Fe2Rh (PBEsol, Alexandria).

Cell: 3.6084 3.6084 11.3376 Å, 99.16 99.16 90.00°
Closest atoms and distances in Å follow each position.
Fractional coordinates of all 12 atoms:
1 Rh 0.0820 0.0820 0.1641  10 Fe 2.55-2.60, 2 Rh 2.62
2 Rh 0.1680 0.6680 0.3359  10 Fe 2.55-2.60, 2 Rh 2.62
3 Rh 0.9180 0.9180 0.8359  10 Fe 2.55-2.60, 2 Rh 2.62
4 Rh 0.3320 0.8320 0.6641  10 Fe 2.55-2.60, 2 Rh 2.62
5 Fe 0.8332 0.3332 0.6664  6 Rh 2.55-2.60, 6 Fe 2.56-2.59
6 Fe 0.5007 0.0007 0.0015  4 Rh 2.55-2.57, 8 Fe 2.55-2.59
7 Fe 0.4168 0.4168 0.8336  6 Rh 2.55-2.60, 6 Fe 2.56-2.59
8 Fe 0.2507 0.2507 0.5015  4 Rh 2.55-2.57, 8 Fe 2.55-2.59
9 Fe 0.6668 0.1668 0.3336  6 Rh 2.55-2.60, 6 Fe 2.56-2.59
10 Fe 0.9993 0.4993 0.9985  4 Rh 2.55-2.57, 8 Fe 2.55-2.59
11 Fe 0.5832 0.5832 0.1664  6 Rh 2.55-2.60, 6 Fe 2.56-2.59
12 Fe 0.7493 0.7493 0.4985  4 Rh 2.55-2.57, 8 Fe 2.55-2.59

Properties
**V**: 144 Å³ per cell
**DFT total energy**: -8.60 eV/atom
**Density of states at the Fermi level**: 18.2 states/eV/cell
**Magnetization**: 4.823 μB per formula unit
**Space group**: I4_1/amd (141)

No. 10
# RbAgRu3

A relaxed structure of RbAgRu3 (PBEsol, Alexandria).

Cell: 4.6328 4.6328 4.6328 Å, 90.00 90.00 90.00°
Closest atoms and distances in Å follow each position.
Fractional coordinates of all 5 atoms:
1 Ru 0.0000 0.0000 0.5000  2 Rb 2.32
2 Ru 0.5000 0.0000 0.0000  2 Rb 2.32
3 Ru 0.0000 0.5000 0.0000  2 Rb 2.32
4 Rb 0.0000 0.0000 0.0000  6 Ru 2.32
5 Ag 0.5000 0.5000 0.5000  12 Ru 3.28

Properties
**V**: 99 Å³ per cell
**DFT total energy**: -3.85 eV/atom
**Density of states at the Fermi level**: 6.0 states/eV/cell
**Magnetization**: 4.153 μB per formula unit
**Space group**: Pm-3m (221)

No. 11
# LaInFe2

A relaxed structure of LaInFe2 (PBEsol, Alexandria).

Cell: 4.8122 4.8122 4.8122 Å, 60.00 60.00 60.00°
Closest atoms and distances in Å follow each position.
Fractional coordinates of all 4 atoms:
1 La 0.2500 0.2500 0.2500  4 In 2.95, 4 Fe 2.95
2 Fe 0.0000 0.0000 0.0000  4 La 2.95, 4 Fe 2.95
3 Fe 0.7500 0.7500 0.7500  4 In 2.95, 4 Fe 2.95
4 In 0.5000 0.5000 0.5000  4 Fe 2.95, 4 La 2.95

Properties
**V**: 79 Å³ per cell
**DFT total energy**: -6.12 eV/atom
**Density of states at the Fermi level**: 6.9 states/eV/cell
**Magnetization**: 5.535 μB per formula unit
**Space group**: F-43m (216)

No. 12
# Mg2Tl

A relaxed structure of Mg2Tl (PBEsol, Alexandria).

Cell: 3.3597 6.0536 7.6365 Å, 109.31 90.00 106.11°
Closest atoms and distances in Å follow each position.
Fractional coordinates of all 6 atoms:
1 Mg 0.9611 0.9221 0.6917  5 Tl 3.08-3.18, 7 Mg 3.19-3.36
2 Mg 0.0389 0.0779 0.3083  5 Tl 3.08-3.18, 7 Mg 3.19-3.36
3 Mg 0.6388 0.2775 0.0338  3 Tl 3.08-3.13, 9 Mg 3.09-3.36
4 Mg 0.3612 0.7225 0.9662  3 Tl 3.08-3.13, 9 Mg 3.09-3.36
5 Tl 0.3176 0.6352 0.3488  8 Mg 3.08-3.18, 2 Tl 3.36
6 Tl 0.6824 0.3648 0.6512  8 Mg 3.08-3.18, 2 Tl 3.36

Properties
**V**: 140 Å³ per cell
**DFT total energy**: -2.08 eV/atom
**Density of states at the Fermi level**: 2.4 states/eV/cell
**Magnetization**: 0.000 μB per formula unit
**Space group**: C2/m (12)